(1)
Density functional theory data (PBEsol) for a relaxed V6C5 crystal.

Crystal system: trigonal
Calculated formation energy, kJ/mol of formula units: -679.5
Calculated total energy, eV for the cell shown: -339.20
M_tot, μB/cell: 0.00

Cell: 5.048 5.048 14.215 Å, 90.00 90.00 120.00°
Element x y z (fractional)
V: 0.196 0.444 0.418
V: 0.196 0.752 0.582
V: 0.197 0.085 0.248
V: 0.197 0.111 0.752
V: 0.248 0.444 0.915
V: 0.248 0.804 0.085
V: 0.532 0.087 0.910
V: 0.532 0.445 0.090
V: 0.555 0.087 0.423
V: 0.555 0.468 0.577
V: 0.556 0.752 0.751
V: 0.556 0.804 0.249
V: 0.889 0.085 0.085
V: 0.889 0.803 0.915
V: 0.913 0.445 0.243
V: 0.913 0.468 0.757
V: 0.915 0.111 0.581
V: 0.915 0.803 0.419
C: 0.221 0.442 0.667
C: 0.221 0.779 0.333
C: 0.223 0.445 0.167
C: 0.223 0.777 0.833
C: 0.226 0.113 0.000
C: 0.227 0.114 0.500
C: 0.555 0.777 0.500
C: 0.558 0.779 0.000
C: 0.559 0.118 0.167
C: 0.559 0.441 0.833
C: 0.882 0.441 0.500
C: 0.886 0.114 0.833
C: 0.886 0.773 0.167
C: 0.887 0.113 0.333
C: 0.887 0.774 0.667

***

(2)
Density functional theory data (PBEsol) for a relaxed V2C crystal.

Crystal system: trigonal
Calculated formation energy, kJ/mol of formula units: -150.9
Calculated total energy, eV for the cell shown: -30.48
M_tot, μB/cell: 0.00

Cell: 2.861 2.861 4.480 Å, 90.00 90.00 120.00°
Element x y z (fractional)
V: 0.333 0.667 0.254
V: 0.667 0.333 0.746
C: 0.000 0.000 0.000

***

(3)
Density functional theory data (PBEsol) for a relaxed VC crystal.

Crystal system: cubic
Calculated formation energy, kJ/mol of formula units: -99.9
Calculated total energy, eV for the cell shown: -20.31
M_tot, μB/cell: 0.00

Cell: 2.912 2.912 2.912 Å, 60.00 60.00 60.00°
Element x y z (fractional)
V: 0.000 0.000 0.000
C: 0.500 0.500 0.500

***

(4)
Density functional theory data (PBEsol) for a relaxed V2C crystal.

Crystal system: orthorhombic
Calculated formation energy, kJ/mol of formula units: -155.5
Calculated total energy, eV for the cell shown: -122.10
M_tot, μB/cell: 0.00

Cell: 4.507 5.679 4.982 Å, 90.00 90.00 90.00°
Element x y z (fractional)
V: 0.245 0.118 0.077
V: 0.245 0.882 0.577
V: 0.255 0.382 0.577
V: 0.255 0.618 0.077
V: 0.745 0.382 0.923
V: 0.745 0.618 0.423
V: 0.755 0.118 0.423
V: 0.755 0.882 0.923
C: 0.000 0.373 0.250
C: 0.000 0.627 0.750
C: 0.500 0.127 0.750
C: 0.500 0.873 0.250